{
  "formula": "CsRb2ZnF5",
  "functional": "PBE",
  "state": "relaxed",
  "lattice_angstrom": [[-5.7047, 0.7199, -5.2712], [-5.2153, -2.2838, 5.3323], [4.6136, 6.7601, 1.7020]],
  "species": ["Cs", "Cs", "Rb", "Rb", "Rb", "Rb", "Zn", "Zn", "F", "F", "F", "F", "F", "F", "F", "F", "F", "F"],
  "frac_coords": [[0.2500, 0.2500, 0.5000], [0.7500, 0.7500, 0.5000], [0.1793, 0.3207, 0.0000], [0.6793, 0.1793, 0.0000], [0.3207, 0.8207, 0.0000], [0.8207, 0.6793, 0.0000], [0.2500, 0.7500, 0.5000], [0.7500, 0.2500, 0.5000], [0.0176, 0.5176, 0.3048], [0.7128, 0.2128, 0.6952], [0.9824, 0.4824, 0.6952], [0.2128, 0.9824, 0.6952], [0.4824, 0.7128, 0.6952], [0.7872, 0.0176, 0.3048], [0.5176, 0.2872, 0.3048], [0.2872, 0.7872, 0.3048], [0.5000, 0.5000, 0.0000], [0.0000, 0.0000, 0.0000]],
  "formation_energy_uncorrected_ev_per_atom": -2.61,
  "dos_at_fermi_per_ev_atom": 0.000,
  "dft_energy_ev_per_cell": -73.77
}